CsRb11Hg5 | Alexandria via LeMat-Bulk | PBE-GGA | relaxed; energy of formation from the pure elements = -0.125 eV per atom; DOS(E_F) = 10.392 states/eV/f.u.
1.0
0.8849 4.3242 -7.6122
5.3939 -9.2888 -3.1047
-10.6501 -3.0828 -1.4444
Rb Hg Cs
11 5 1
Direct
0.5000 0.0000 0.0000
0.6719 0.6560 0.1358
0.3797 0.6736 0.6736
0.1174 0.4648 0.1952
0.1174 0.1952 0.4648
0.8826 0.5352 0.8048
0.3281 0.8642 0.3440
0.6203 0.3264 0.3264
0.8826 0.8048 0.5352
0.3281 0.3440 0.8642
0.6719 0.1358 0.6560
0.7452 0.3052 0.9962
0.7452 0.9962 0.3052
0.0000 0.5000 0.5000
0.2548 0.0038 0.6948
0.2548 0.6948 0.0038
0.0000 0.0000 0.0000


CsRbHg14 | Alexandria via LeMat-Bulk | PBE-GGA | relaxed; energy of formation from the pure elements = -0.127 eV per atom; DOS(E_F) = 5.759 states/eV/f.u.
1.0
-5.0235 -5.1936 8.5969
4.3665 -10.0511 3.8143
5.5552 -0.6906 10.1638
Hg Cs Rb
28 2 2
Direct
0.8977 0.4443 0.2512
0.3343 0.0949 0.8401
0.6411 0.3056 0.4121
0.1023 0.5557 0.7488
0.1523 0.3009 0.3945
0.2307 0.3401 0.5949
0.5932 0.5557 0.7488
0.4743 0.3475 0.7038
0.8343 0.3401 0.5949
0.6023 0.2488 0.0557
0.5257 0.6525 0.2962
0.1411 0.9121 0.8056
0.2693 0.9051 0.1599
0.1657 0.6599 0.4051
0.3477 0.1055 0.1991
0.7693 0.6599 0.4051
0.7307 0.0949 0.8401
0.6523 0.8945 0.8009
0.4068 0.4443 0.2512
0.3589 0.6944 0.5879
0.9068 0.7512 0.9443
0.0257 0.7962 0.1525
0.8589 0.0879 0.1944
0.8477 0.6991 0.6055
0.6657 0.9051 0.1599
0.9743 0.2038 0.8475
0.3977 0.7512 0.9443
0.0932 0.2488 0.0557
0.5000 0.0000 0.5000
0.0000 0.0000 0.5000
0.7500 0.4999 0.0001
0.2500 0.5001 0.9999


Cs8Rb2Hg3 | Alexandria via LeMat-Bulk | PBE-GGA | relaxed; energy of formation from the pure elements = -0.065 eV per atom; DOS(E_F) = 11.823 states/eV/f.u.
1.0
-6.0603 -6.6546 0.9280
5.1004 -5.5001 -6.1325
3.3900 -2.7089 12.9028
Cs Rb Hg
8 2 3
Direct
0.7612 0.1232 0.2464
0.2388 0.8768 0.7536
0.2783 0.8592 0.2077
0.2258 0.4451 0.8902
0.7742 0.5549 0.1098
0.7217 0.6515 0.7923
0.7217 0.1408 0.7923
0.2783 0.3485 0.2077
0.1292 0.2682 0.5365
0.8708 0.7318 0.4635
0.5000 0.0000 0.0000
0.0000 0.1583 0.0000
0.0000 0.8417 0.0000